1.
CoNiSb | PBE | relaxed

Lattice parameters (Å, degrees): 3.8190 3.8190 5.9937 90.00 90.00 90.00
Fractional coordinates of all 6 atoms:
Sb: 0.0000 0.5000 0.2108
Sb: 0.5000 0.0000 0.7892
Co: 0.0000 0.0000 0.5000
Co: 0.5000 0.5000 0.5000
Ni: 0.0000 0.5000 0.7833
Ni: 0.5000 0.0000 0.2167

Its space group is P4/nmm (129). As for the volume: 87.4 Å³ per cell. The value obtained for the energy relative to the elements, uncorrected is -1.83 kcal/mol of atoms. For the density of states at the Fermi level, the calculation gives 3.31 states/eV/f.u. As for the crystal system: tetragonal. The theoretical density is 9.1 g/cm3.

---

2.
TmZnNi | PBE | relaxed

Lattice parameters (Å, degrees): 6.6179 6.6179 5.6402 90.00 90.00 90.00
Fractional coordinates of all 12 atoms:
Zn: 0.3020 0.6980 0.2500
Zn: 0.1980 0.1980 0.0000
Zn: 0.8020 0.8020 0.5000
Zn: 0.6980 0.3020 0.7500
Ni: 0.5503 0.5503 0.5000
Ni: 0.4497 0.4497 0.0000
Ni: 0.0503 0.9497 0.2500
Ni: 0.9497 0.0503 0.7500
Tm: 0.2366 0.7634 0.7500
Tm: 0.2634 0.2634 0.5000
Tm: 0.7634 0.2366 0.2500
Tm: 0.7366 0.7366 0.0000

Its space group is P4_12_12 (92). As for the volume: 247.0 Å³ per cell. For the density of states at the Fermi level, the calculation gives 1.99 states/eV/f.u. As for the crystal system: tetragonal. The theoretical density is 7.9 g/cm3. The calculation puts the calculated formation energy at -0.35 eV/f.u.